Material: ZrSc3Mo
Method: DFT, PBE-GGA
State: relaxed

Geometry as CIF:
```
data_ZrSc3Mo
_chemical_formula_sum 'Zr1 Sc3 Mo1'
_cell_length_a 4.982
_cell_length_b 4.982
_cell_length_c 4.982
_cell_angle_alpha 90.00
_cell_angle_beta 90.00
_cell_angle_gamma 90.00
_space_group_name_H-M_alt 'P m -3 m'
_space_group_IT_number 221
_space_group_name_Hall '-P 4 2 3'
loop_
_atom_site_label
_atom_site_type_symbol
_atom_site_fract_x
_atom_site_fract_y
_atom_site_fract_z
Zr1 Zr 0.000 0.000 0.000
Sc1 Sc 0.000 0.500 0.500
Mo1 Mo 0.500 0.500 0.500
```

---

Material: ZrScMo2
Method: DFT, PBE-GGA
State: relaxed

Geometry as CIF:
```
data_ZrScMo2
_chemical_formula_sum 'Zr2 Sc2 Mo4'
_cell_length_a 3.269
_cell_length_b 4.878
_cell_length_c 9.565
_cell_angle_alpha 90.00
_cell_angle_beta 90.00
_cell_angle_gamma 90.00
_space_group_name_H-M_alt 'C m m 2'
_space_group_IT_number 35
loop_
_space_group_symop_operation_xyz
'x,y,z'
'-x,-y,z'
'-x,y,z'
'x,-y,z'
'x+1/2,y+1/2,z'
'-x+1/2,-y+1/2,z'
'-x+1/2,y+1/2,z'
'x+1/2,-y+1/2,z'
loop_
_atom_site_label
_atom_site_type_symbol
_atom_site_fract_x
_atom_site_fract_y
_atom_site_fract_z
Zr1 Zr 0.000 0.000 0.000
Sc1 Sc 0.000 0.500 0.698
Mo1 Mo 0.000 0.000 0.455
Mo2 Mo 0.000 0.500 0.244
```

---

Material: ZrSc4Mo
Method: DFT, PBE-GGA
State: relaxed

Geometry as CIF:
```
data_ZrSc4Mo
_chemical_formula_sum 'Zr4 Sc16 Mo4'
_cell_length_a 8.066
_cell_length_b 8.066
_cell_length_c 8.066
_cell_angle_alpha 90.00
_cell_angle_beta 90.00
_cell_angle_gamma 90.00
_space_group_name_H-M_alt 'F -4 3 m'
_space_group_IT_number 216
_space_group_name_Hall 'F -4 2 3'
loop_
_atom_site_label
_atom_site_type_symbol
_atom_site_fract_x
_atom_site_fract_y
_atom_site_fract_z
Zr1 Zr 0.000 0.000 0.000
Sc1 Sc 0.124 0.124 0.376
Mo1 Mo 0.250 0.250 0.750
```

---

Material: ZrScMo2
Method: DFT, PBE-GGA
State: relaxed

Geometry as CIF:
```
data_ZrScMo2
_chemical_formula_sum 'Zr1 Sc1 Mo2'
_cell_length_a 3.032
_cell_length_b 4.461
_cell_length_c 5.695
_cell_angle_alpha 90.00
_cell_angle_beta 102.63
_cell_angle_gamma 90.00
_space_group_name_H-M_alt 'P 1 m 1'
_space_group_IT_number 6
loop_
_space_group_symop_operation_xyz
'x,y,z'
'x,-y,z'
loop_
_atom_site_label
_atom_site_type_symbol
_atom_site_fract_x
_atom_site_fract_y
_atom_site_fract_z
Zr1 Zr 0.000 0.000 0.000
Sc1 Sc 0.300 0.500 0.717
Mo1 Mo 0.556 0.000 0.463
Mo2 Mo 0.740 0.500 0.257
```

---

Material: Zr2ScMo
Method: DFT, PBE-GGA
State: relaxed

Geometry as CIF:
```
data_Zr2ScMo
_chemical_formula_sum 'Zr4 Sc2 Mo2'
_cell_length_a 11.051
_cell_length_b 3.442
_cell_length_c 4.902
_cell_angle_alpha 90.00
_cell_angle_beta 115.49
_cell_angle_gamma 90.00
_space_group_name_H-M_alt 'C 1 m 1'
_space_group_IT_number 8
loop_
_space_group_symop_operation_xyz
'x,y,z'
'x,-y,z'
'x+1/2,y+1/2,z'
'x+1/2,-y+1/2,z'
loop_
_atom_site_label
_atom_site_type_symbol
_atom_site_fract_x
_atom_site_fract_y
_atom_site_fract_z
Zr1 Zr 0.000 0.000 0.000
Zr2 Zr 0.217 0.000 0.727
Sc1 Sc 0.436 0.000 0.438
Mo1 Mo 0.210 0.500 0.243
```

---

Material: Zr2ScMo
Method: DFT, PBE-GGA
State: relaxed

Geometry as CIF:
```
data_Zr2ScMo
_chemical_formula_sum 'Zr2 Sc1 Mo1'
_cell_length_a 2.951
_cell_length_b 4.781
_cell_length_c 5.873
_cell_angle_alpha 90.00
_cell_angle_beta 90.00
_cell_angle_gamma 90.00
_space_group_name_H-M_alt 'P m m 2'
_space_group_IT_number 25
loop_
_space_group_symop_operation_xyz
'x,y,z'
'-x,-y,z'
'-x,y,z'
'x,-y,z'
loop_
_atom_site_label
_atom_site_type_symbol
_atom_site_fract_x
_atom_site_fract_y
_atom_site_fract_z
Zr1 Zr 0.000 0.000 0.000
Zr2 Zr 0.500 0.500 0.262
Sc1 Sc 0.500 0.500 0.738
Mo1 Mo 0.000 0.000 0.498
```

---

Material: ZrScMo2
Method: DFT, PBE-GGA
State: relaxed

Geometry as CIF:
```
data_ZrScMo2
_chemical_formula_sum 'Zr2 Sc2 Mo4'
_cell_length_a 3.356
_cell_length_b 4.788
_cell_length_c 9.182
_cell_angle_alpha 90.00
_cell_angle_beta 90.00
_cell_angle_gamma 90.00
_space_group_name_H-M_alt 'C m m m'
_space_group_IT_number 65
_space_group_name_Hall '-C 2 2'
loop_
_atom_site_label
_atom_site_type_symbol
_atom_site_fract_x
_atom_site_fract_y
_atom_site_fract_z
Zr1 Zr 0.000 0.000 0.000
Sc1 Sc 0.000 0.000 0.500
Mo1 Mo 0.000 0.500 0.248
```

---

Material: Zr2Sc2Mo
Method: DFT, PBE-GGA
State: relaxed

Geometry as CIF:
```
data_Zr2Sc2Mo
_chemical_formula_sum 'Zr4 Sc4 Mo2'
_cell_length_a 6.846
_cell_length_b 6.846
_cell_length_c 4.888
_cell_angle_alpha 90.00
_cell_angle_beta 90.00
_cell_angle_gamma 90.00
_space_group_name_H-M_alt 'P 4/m b m'
_space_group_IT_number 127
_space_group_name_Hall '-P 4 2ab'
loop_
_atom_site_label
_atom_site_type_symbol
_atom_site_fract_x
_atom_site_fract_y
_atom_site_fract_z
Zr1 Zr 0.150 0.350 0.000
Sc1 Sc 0.166 0.666 0.500
Mo1 Mo 0.000 0.000 0.000
```

---

Material: ZrScMo2
Method: DFT, PBE-GGA
State: relaxed

Geometry as CIF:
```
data_ZrScMo2
_chemical_formula_sum 'Zr4 Sc4 Mo8'
_cell_length_a 7.378
_cell_length_b 7.378
_cell_length_c 5.694
_cell_angle_alpha 90.00
_cell_angle_beta 90.00
_cell_angle_gamma 90.00
_space_group_name_H-M_alt 'I -4 2 d'
_space_group_IT_number 122
_space_group_name_Hall 'I -4 2bw'
loop_
_atom_site_label
_atom_site_type_symbol
_atom_site_fract_x
_atom_site_fract_y
_atom_site_fract_z
Zr1 Zr 0.000 0.000 0.000
Sc1 Sc 0.000 0.000 0.500
Mo1 Mo 0.249 0.250 0.625
```

---

Material: ZrScMo2
Method: DFT, PBE-GGA
State: relaxed

Geometry as CIF:
```
data_ZrScMo2
_chemical_formula_sum 'Zr2 Sc2 Mo4'
_cell_length_a 5.848
_cell_length_b 9.232
_cell_length_c 2.889
_cell_angle_alpha 90.00
_cell_angle_beta 109.62
_cell_angle_gamma 90.00
_space_group_name_H-M_alt 'C 1 2/m 1'
_space_group_IT_number 12
loop_
_space_group_symop_operation_xyz
'x,y,z'
'-x,-y,-z'
'-x,y,-z'
'x,-y,z'
'x+1/2,y+1/2,z'
'-x+1/2,-y+1/2,-z'
'-x+1/2,y+1/2,-z'
'x+1/2,-y+1/2,z'
loop_
_atom_site_label
_atom_site_type_symbol
_atom_site_fract_x
_atom_site_fract_y
_atom_site_fract_z
Zr1 Zr 0.000 0.000 0.000
Sc1 Sc 0.000 0.500 0.000
Mo1 Mo 0.250 0.250 0.500
```

---

Material: ZrScMo
Method: DFT, PBE-GGA
State: relaxed

Geometry as CIF:
```
data_ZrScMo
_chemical_formula_sum 'Zr8 Sc8 Mo8'
_cell_length_a 9.505
_cell_length_b 5.642
_cell_length_c 9.156
_cell_angle_alpha 90.00
_cell_angle_beta 90.00
_cell_angle_gamma 90.00
_space_group_name_H-M_alt 'A m m 2'
_space_group_IT_number 38
loop_
_space_group_symop_operation_xyz
'x,y,z'
'-x,-y,z'
'-x,y,z'
'x,-y,z'
'x,y+1/2,z+1/2'
'-x,-y+1/2,z+1/2'
'-x,y+1/2,z+1/2'
'x,-y+1/2,z+1/2'
loop_
_atom_site_label
_atom_site_type_symbol
_atom_site_fract_x
_atom_site_fract_y
_atom_site_fract_z
Zr1 Zr 0.168 0.000 0.000
Zr2 Zr 0.287 0.000 0.676
Sc1 Sc 0.246 0.000 0.329
Sc2 Sc 0.500 0.243 0.942
Mo1 Mo 0.000 0.000 0.501
Mo2 Mo 0.000 0.245 0.747
Mo3 Mo 0.500 0.000 0.185
```

---

Material: ZrScMo
Method: DFT, PBE-GGA
State: relaxed

Geometry as CIF:
```
data_ZrScMo
_chemical_formula_sum 'Zr4 Sc4 Mo4'
_cell_length_a 6.478
_cell_length_b 6.478
_cell_length_c 6.478
_cell_angle_alpha 90.00
_cell_angle_beta 90.00
_cell_angle_gamma 90.00
_space_group_name_H-M_alt 'F -4 3 m'
_space_group_IT_number 216
_space_group_name_Hall 'F -4 2 3'
loop_
_atom_site_label
_atom_site_type_symbol
_atom_site_fract_x
_atom_site_fract_y
_atom_site_fract_z
Zr1 Zr 0.000 0.000 0.000
Sc1 Sc 0.000 0.000 0.500
Mo1 Mo 0.250 0.250 0.250
```

---

Material: ZrScMo
Method: DFT, PBE-GGA
State: relaxed

Geometry as CIF:
```
data_ZrScMo
_chemical_formula_sum 'Zr1 Sc1 Mo1'
_cell_length_a 4.7743
_cell_length_b 4.7743
_cell_length_c 3.0115
_cell_angle_alpha 90.00
_cell_angle_beta 90.00
_cell_angle_gamma 120.00
_space_group_name_H-M_alt 'P 3 m 1'
_space_group_IT_number 156
loop_
_space_group_symop_operation_xyz
'x,y,z'
'-y,x-y,z'
'-x+y,-x,z'
'-y,-x,z'
'-x+y,y,z'
'x,x-y,z'
loop_
_atom_site_label
_atom_site_type_symbol
_atom_site_fract_x
_atom_site_fract_y
_atom_site_fract_z
Zr1 Zr 0.0000 0.0000 0.0000
Sc1 Sc 0.3333 0.6667 0.5596
Mo1 Mo 0.6667 0.3333 0.2331
```

---

Material: Zr2ScMo
Method: DFT, PBE-GGA
State: relaxed

Geometry as CIF:
```
data_Zr2ScMo
_chemical_formula_sum 'Zr2 Sc1 Mo1'
_cell_length_a 3.414
_cell_length_b 3.414
_cell_length_c 7.302
_cell_angle_alpha 90.00
_cell_angle_beta 90.00
_cell_angle_gamma 90.00
_space_group_name_H-M_alt 'P 4/m m m'
_space_group_IT_number 123
_space_group_name_Hall '-P 4 2'
loop_
_atom_site_label
_atom_site_type_symbol
_atom_site_fract_x
_atom_site_fract_y
_atom_site_fract_z
Zr1 Zr 0.000 0.000 0.213
Sc1 Sc 0.500 0.500 0.500
Mo1 Mo 0.500 0.500 0.000
```

---

Material: ZrScMo2
Method: DFT, PBE-GGA
State: relaxed

Geometry as CIF:
```
data_ZrScMo2
_chemical_formula_sum 'Zr2 Sc2 Mo4'
_cell_length_a 3.974
_cell_length_b 3.974
_cell_length_c 9.457
_cell_angle_alpha 90.00
_cell_angle_beta 90.00
_cell_angle_gamma 90.00
_space_group_name_H-M_alt 'I 4/m m m'
_space_group_IT_number 139
_space_group_name_Hall '-I 4 2'
loop_
_atom_site_label
_atom_site_type_symbol
_atom_site_fract_x
_atom_site_fract_y
_atom_site_fract_z
Zr1 Zr 0.000 0.000 0.000
Sc1 Sc 0.000 0.000 0.500
Mo1 Mo 0.000 0.500 0.250
```

---

Material: Zr2ScMo
Method: DFT, PBE-GGA
State: relaxed

Geometry as CIF:
```
data_Zr2ScMo
_chemical_formula_sum 'Zr4 Sc2 Mo2'
_cell_length_a 6.024
_cell_length_b 9.717
_cell_length_c 2.983
_cell_angle_alpha 90.00
_cell_angle_beta 110.55
_cell_angle_gamma 90.00
_space_group_name_H-M_alt 'C 1 2/m 1'
_space_group_IT_number 12
loop_
_space_group_symop_operation_xyz
'x,y,z'
'-x,-y,-z'
'-x,y,-z'
'x,-y,z'
'x+1/2,y+1/2,z'
'-x+1/2,-y+1/2,-z'
'-x+1/2,y+1/2,-z'
'x+1/2,-y+1/2,z'
loop_
_atom_site_label
_atom_site_type_symbol
_atom_site_fract_x
_atom_site_fract_y
_atom_site_fract_z
Zr1 Zr 0.250 0.250 0.000
Sc1 Sc 0.000 0.000 0.500
Mo1 Mo 0.000 0.500 0.500
```

---

Material: ZrSc2Mo2
Method: DFT, PBE-GGA
State: relaxed

Geometry as CIF:
```
data_ZrSc2Mo2
_chemical_formula_sum 'Zr2 Sc4 Mo4'
_cell_length_a 7.552
_cell_length_b 7.552
_cell_length_c 3.569
_cell_angle_alpha 90.00
_cell_angle_beta 90.00
_cell_angle_gamma 90.00
_space_group_name_H-M_alt 'P 4/m b m'
_space_group_IT_number 127
_space_group_name_Hall '-P 4 2ab'
loop_
_atom_site_label
_atom_site_type_symbol
_atom_site_fract_x
_atom_site_fract_y
_atom_site_fract_z
Zr1 Zr 0.000 0.000 0.000
Sc1 Sc 0.179 0.321 0.500
Mo1 Mo 0.113 0.613 0.000
```

---

Material: Zr2ScMo
Method: DFT, PBE-GGA
State: relaxed

Geometry as CIF:
```
data_Zr2ScMo
_chemical_formula_sum 'Zr2 Sc1 Mo1'
_cell_length_a 4.850
_cell_length_b 4.850
_cell_length_c 3.490
_cell_angle_alpha 90.00
_cell_angle_beta 90.00
_cell_angle_gamma 90.00
_space_group_name_H-M_alt 'P 4/m m m'
_space_group_IT_number 123
_space_group_name_Hall '-P 4 2'
loop_
_atom_site_label
_atom_site_type_symbol
_atom_site_fract_x
_atom_site_fract_y
_atom_site_fract_z
Zr1 Zr 0.000 0.500 0.000
Sc1 Sc 0.000 0.000 0.500
Mo1 Mo 0.500 0.500 0.500
```

---

Material: ZrScMo
Method: DFT, PBE-GGA
State: relaxed

Geometry as CIF:
```
data_ZrScMo
_chemical_formula_sum 'Zr2 Sc2 Mo2'
_cell_length_a 3.430
_cell_length_b 3.430
_cell_length_c 10.545
_cell_angle_alpha 90.00
_cell_angle_beta 90.00
_cell_angle_gamma 90.00
_space_group_name_H-M_alt 'I 4 m m'
_space_group_IT_number 107
_space_group_name_Hall 'I 4 -2'
loop_
_atom_site_label
_atom_site_type_symbol
_atom_site_fract_x
_atom_site_fract_y
_atom_site_fract_z
Zr1 Zr 0.000 0.000 0.000
Sc1 Sc 0.000 0.000 0.289
Mo1 Mo 0.000 0.000 0.631
```

---

Material: ZrScMo2
Method: DFT, PBE-GGA
State: relaxed

Geometry as CIF:
```
data_ZrScMo2
_chemical_formula_sum 'Zr2 Sc2 Mo4'
_cell_length_a 4.692
_cell_length_b 4.692
_cell_length_c 6.651
_cell_angle_alpha 90.00
_cell_angle_beta 90.00
_cell_angle_gamma 90.00
_space_group_name_H-M_alt 'I -4 m 2'
_space_group_IT_number 119
_space_group_name_Hall 'I -4 -2'
loop_
_atom_site_label
_atom_site_type_symbol
_atom_site_fract_x
_atom_site_fract_y
_atom_site_fract_z
Zr1 Zr 0.000 0.000 0.000
Sc1 Sc 0.000 0.500 0.250
Mo1 Mo 0.000 0.000 0.500
Mo2 Mo 0.000 0.500 0.750
```

---

Energy of formation from the pure elements for every record listed, in sequence, given in eV/atom: 0.560; 0.111; 0.556; 0.093; 0.036; 0.193; 0.158; 0.274; 0.690; 0.160; 0.141; 0.497; 0.097; 0.030; 0.291; 0.167; 0.250; 0.112; 0.064; 0.131.